Entry 1:
! PBE-GGA AlTcAu3, relaxed; values from VASP
! N(E_F): 3.8 states/eV/cell
! SG: Pm-3m, No. 221
! Raw total energy: -18.4 eV for the cell shown
! Formation enthalpy at 0 K: 1.1054 eV per atom
&SYSTEM
  ibrav = 0, nat = 5, ntyp = 3
/
ATOMIC_SPECIES
Al 26.98 Al.upf
Tc 98.00 Tc.upf
Au 196.97 Au.upf
ATOMIC_POSITIONS crystal
Al 0.0000 0.0000 0.0000
Tc 0.5000 0.5000 0.5000
Au 0.0000 0.5000 0.5000
Au 0.5000 0.0000 0.5000
Au 0.5000 0.5000 0.0000
CELL_PARAMETERS angstrom
5.0861 0.0000 0.0000
0.0000 5.0861 0.0000
0.0000 0.0000 5.0861

---

Entry 2:
! PBE-GGA Cu2PbSe, relaxed; values from VASP
! N(E_F): 1.2 states/eV/cell
! SG: Pm, No. 6
! Raw total energy: -15.0 eV for the cell shown
! Uncorrected formation energy: 0.0841 eV/atom
&SYSTEM
  ibrav = 0, nat = 4, ntyp = 3
/
ATOMIC_SPECIES
Cu 63.55 Cu.upf
Pb 207.20 Pb.upf
Se 78.96 Se.upf
ATOMIC_POSITIONS crystal
Cu 0.0000 0.0000 0.0000
Cu 0.2744 0.5000 0.2321
Pb 0.7861 0.0000 0.4594
Se 0.6375 0.5000 0.9182
CELL_PARAMETERS angstrom
3.7849 0.0000 0.0000
0.0000 4.0297 0.0000
-1.5748 0.0000 5.4589

---

Entry 3:
! PBE-GGA LaNd4Er2Th, relaxed; values from VASP
! N(E_F): 27.9 states/eV/cell
! SG: C2/m, No. 12
! Raw total energy: -80.4 eV for the cell shown
! Formation enthalpy at 0 K: 0.0443 eV per atom
&SYSTEM
  ibrav = 0, nat = 16, ntyp = 4
/
ATOMIC_SPECIES
La 138.91 La.upf
Nd 144.24 Nd.upf
Er 167.26 Er.upf
Th 232.04 Th.upf
ATOMIC_POSITIONS crystal
La 0.0000 0.0000 0.0000
La 0.5000 0.5000 0.0000
Nd 0.2470 0.5000 0.6208
Nd 0.2480 0.0000 0.8705
Nd 0.2520 0.5000 0.1295
Nd 0.2530 0.0000 0.3792
Nd 0.7470 0.0000 0.6208
Nd 0.7480 0.5000 0.8705
Nd 0.7520 0.0000 0.1295
Nd 0.7530 0.5000 0.3792
Er 0.0021 0.5000 0.7438
Er 0.4979 0.0000 0.2562
Er 0.5021 0.0000 0.7438
Er 0.9979 0.5000 0.2562
Th 0.0000 0.0000 0.5000
Th 0.5000 0.5000 0.5000
CELL_PARAMETERS angstrom
11.5575 0.0000 0.0000
0.0000 5.1289 0.0000
-4.5771 0.0000 9.1772

---

Entry 4:
! PBE-GGA NaCd2TeO6, relaxed; values from VASP
! N(E_F): 6.4 states/eV/cell
! SG: R3, No. 146
! Raw total energy: -46.9 eV for the cell shown
! Uncorrected formation energy: -1.0870 eV/atom
&SYSTEM
  ibrav = 0, nat = 10, ntyp = 4
/
ATOMIC_SPECIES
Na 22.99 Na.upf
Cd 112.41 Cd.upf
Te 127.60 Te.upf
O 16.00 O.upf
ATOMIC_POSITIONS crystal
Na 0.0000 0.0000 0.0000
Cd 0.2726 0.2726 0.2726
Cd 0.7884 0.7884 0.7884
Te 0.4832 0.4832 0.4832
O 0.1307 0.6719 0.4005
O 0.2454 0.5826 0.8285
O 0.4005 0.1307 0.6719
O 0.5826 0.8285 0.2454
O 0.6719 0.4005 0.1307
O 0.8285 0.2454 0.5826
CELL_PARAMETERS angstrom
2.8220 1.6293 5.0307
-2.8220 1.6293 5.0307
0.0000 -3.2585 5.0307